# 1
The following is a PBE calculation of an optimized crystal structure of Ta2TlZn, from Alexandria.

The magnetic moment is 0.0 Bohr magnetons per cell. For the calculated volume, the calculation gives 145.9 Å³/cell. The density of states at the Fermi level is 0.308 states/eV per atom. Its formation energy is 0.309 eV per atom.

Cell: 4.049 4.049 8.898 Å, 90.00 90.00 90.00°
Space group I4/mmm (No. 139)
One atom of each set of equivalent atoms:
Ta 0.000 0.500 0.250 (multiplicity 4)
Tl 0.000 0.000 0.000 (multiplicity 2)
Zn 0.000 0.000 0.500 (multiplicity 2)

=====

# 2
The following is a PBE calculation of an optimized crystal structure of AcPm3SmHo, from Alexandria.

The magnetic moment is 0.0 Bohr magnetons per cell. For the calculated volume, the calculation gives 424.0 Å³/cell. The density of states at the Fermi level is 1.632 states/eV per atom. Its formation energy is 0.037 eV per atom.

Cell: 8.241 5.215 10.414 Å, 90.00 108.64 90.00°
Space group P2_1/m (No. 11)
One atom of each set of equivalent atoms:
Ac 0.169 0.250 0.293 (multiplicity 2)
Pm 0.172 0.750 0.040 (multiplicity 2)
Pm 0.172 0.750 0.547 (multiplicity 2)
Pm 0.173 0.250 0.793 (multiplicity 2)
Sm 0.496 0.750 0.876 (multiplicity 2)
Ho 0.498 0.250 0.627 (multiplicity 2)

=====

# 3
The following is a PBE calculation of an optimized crystal structure of La6SiS2I3, from Alexandria.

The magnetic moment is 0.0 Bohr magnetons per cell. For the calculated volume, the calculation gives 745.0 Å³/cell. The density of states at the Fermi level is 0.534 states/eV per atom. The calculation puts the formation energy (no corrections) at -1.44 eV per atom.

Cell: 7.405 12.832 8.221 Å, 90.00 107.49 90.00°
Space group C2/m (No. 12)
One atom of each set of equivalent atoms:
La 0.225 0.000 0.193 (multiplicity 4)
La 0.234 0.331 0.195 (multiplicity 8)
Si 0.000 0.500 0.000 (multiplicity 2)
S 0.000 0.167 0.000 (multiplicity 4)
I 0.000 0.000 0.500 (multiplicity 2)
I 0.000 0.337 0.500 (multiplicity 4)

=====

# 4
The following is a PBE calculation of an optimized crystal structure of LiTa5Rh6, from Alexandria.

The magnetic moment is 0.0 Bohr magnetons per cell. For the calculated volume, the calculation gives 371.5 Å³/cell. The density of states at the Fermi level is 0.468 states/eV per atom. Its formation energy is -0.486 eV per atom.

Cell: 4.238 7.133 12.290 Å, 90.00 90.00 90.00°
Space group Immm (No. 71)
One atom of each set of equivalent atoms:
Li 0.000 0.000 0.000 (multiplicity 2)
Ta 0.000 0.000 0.356 (multiplicity 4)
Ta 0.000 0.500 0.000 (multiplicity 2)
Ta 0.000 0.500 0.321 (multiplicity 4)
Rh 0.000 0.229 0.168 (multiplicity 8)
Rh 0.000 0.284 0.500 (multiplicity 4)

=====

# 5
The following is a PBE calculation of an optimized crystal structure of KBa2Cl, from Alexandria.

As for the excess energy over the best structure of this formula in the dataset: 33 meV per atom. The magnetic moment is 0.0 Bohr magnetons per cell. For the calculated volume, the calculation gives 225.5 Å³/cell. The density of states at the Fermi level is 0.664 states/eV per atom. The calculation puts the formation energy (no corrections) at -0.80 eV per atom.

Cell: 4.252 4.252 12.473 Å, 90.00 90.00 90.00°
Space group P4mm (No. 99)
One atom of each set of equivalent atoms:
K 0.000 0.000 0.000 (multiplicity 1)
Ba 0.000 0.000 0.583 (multiplicity 1)
Ba 0.500 0.500 0.287 (multiplicity 1)
Cl 0.500 0.500 0.671 (multiplicity 1)

=====

# 6
The following is a PBE calculation of an optimized crystal structure of SrCa2SmAg4, from Alexandria.

The magnetic moment is 0.0 Bohr magnetons per cell. For the calculated volume, the calculation gives 639.3 Å³/cell. The density of states at the Fermi level is 0.754 states/eV per atom. Its formation energy is -0.292 eV per atom.

Cell: 5.3093 5.3093 26.1857 Å, 90.00 90.00 120.00°
Space group R-3m (No. 166, hexagonal axes)
One atom of each set of equivalent atoms:
Sr 0.0000 0.0000 0.0000 (multiplicity 3)
Ca 0.0000 0.0000 0.2490 (multiplicity 6)
Sm 0.0000 0.0000 0.5000 (multiplicity 3)
Ag 0.0000 0.0000 0.1297 (multiplicity 6)
Ag 0.0000 0.0000 0.3805 (multiplicity 6)

=====

# 7
The following is a PBE calculation of an optimized crystal structure of LiZrRe2, from Alexandria.

As for the excess energy over the best structure of this formula in the dataset: 658 meV per atom. The magnetic moment is 0.0 Bohr magnetons per cell. For the calculated volume, the calculation gives 263.3 Å³/cell. The density of states at the Fermi level is 0.576 states/eV per atom. Its formation energy is 0.738 eV per atom.

Cell: 7.221 7.221 5.049 Å, 90.00 90.00 90.00°
Space group I-42d (No. 122)
One atom of each set of equivalent atoms:
Li 0.000 0.000 0.000 (multiplicity 4)
Zr 0.000 0.000 0.500 (multiplicity 4)
Re 0.214 0.250 0.125 (multiplicity 8)

=====

# 8
The following is a PBE calculation of an optimized crystal structure of SiHg2Mo, from Alexandria.

The magnetic moment is 0.0 Bohr magnetons per cell. For the calculated volume, the calculation gives 233.2 Å³/cell. The density of states at the Fermi level is 1.345 states/eV per atom. The calculation puts the formation energy (no corrections) at 0.36 eV per atom.

Cell: 3.1339 3.1339 27.4188 Å, 90.00 90.00 120.00°
Space group R3m (No. 160, hexagonal axes)
One atom of each set of equivalent atoms:
Si 0.0000 0.0000 0.0000 (multiplicity 3)
Hg 0.0000 0.0000 0.5197 (multiplicity 3)
Hg 0.0000 0.0000 0.7542 (multiplicity 3)
Mo 0.0000 0.0000 0.2723 (multiplicity 3)

=====

# 9
The following is a PBE calculation of an optimized crystal structure of Ac2MgTiSe6, from Alexandria.

The magnetic moment is 0.0 Bohr magnetons per cell. For the calculated volume, the calculation gives 525.5 Å³/cell. The calculation puts the formation energy (no corrections) at -1.59 eV per atom.

Cell: 6.893 7.591 12.179 Å, 90.00 124.46 90.00°
Space group P2_1/c (No. 14)
One atom of each set of equivalent atoms:
Ac 0.214 0.099 0.250 (multiplicity 4)
Mg 0.000 0.000 0.500 (multiplicity 2)
Ti 0.500 0.000 0.000 (multiplicity 2)
Se 0.142 0.181 0.952 (multiplicity 4)
Se 0.276 0.697 0.951 (multiplicity 4)
Se 0.355 0.013 0.756 (multiplicity 4)

=====

# 10
The following is a PBE calculation of an optimized crystal structure of ThZrSc2, from Alexandria.

As for the excess energy over the best structure of this formula in the dataset: 43 meV per atom. The magnetic moment is 0.0 Bohr magnetons per cell. For the calculated volume, the calculation gives 104.6 Å³/cell. The density of states at the Fermi level is 1.283 states/eV per atom. Its formation energy is 0.056 eV per atom.

Cell: 3.309 3.309 9.551 Å, 90.00 90.00 90.00°
Space group P4mm (No. 99)
One atom of each set of equivalent atoms:
Th 0.000 0.000 0.000 (multiplicity 1)
Zr 0.500 0.500 0.259 (multiplicity 1)
Sc 0.000 0.000 0.487 (multiplicity 1)
Sc 0.500 0.500 0.739 (multiplicity 1)

=====

# 11
The following is a PBE calculation of an optimized crystal structure of EuIn4, from Alexandria.

The magnetic moment is 28.5 Bohr magnetons per cell. For the calculated volume, the calculation gives 561.3 Å³/cell. The density of states at the Fermi level is 1.543 states/eV per atom. Its formation energy is -0.280 eV per atom.

Cell: 12.121 4.983 10.038 Å, 90.00 112.20 90.00°
Space group C2/m (No. 12)
One atom of each set of equivalent atoms:
Eu 0.154 0.000 0.197 (multiplicity 4)
In 0.049 0.500 0.385 (multiplicity 4)
In 0.085 0.500 0.932 (multiplicity 4)
In 0.157 0.000 0.835 (multiplicity 4)
In 0.170 0.000 0.546 (multiplicity 4)

=====

# 12
The following is a PBE calculation of an optimized crystal structure of La2GeHPt6, from Alexandria.

The calculation puts the total energy at -6.22 eV per atom. The magnetic moment is 0.0 Bohr magnetons per cell. For the calculated volume, the calculation gives 358.1 Å³/cell. The density of states at the Fermi level is 0.237 states/eV per atom.

Cell: 10.016 5.787 7.025 Å, 90.00 118.45 90.00°
Space group C2/m (No. 12)
One atom of each set of equivalent atoms:
La 0.222 0.000 0.166 (multiplicity 4)
Ge 0.000 0.500 0.000 (multiplicity 2)
H 0.000 0.000 0.500 (multiplicity 2)
Pt 0.020 0.252 0.311 (multiplicity 8)
Pt 0.231 0.000 0.689 (multiplicity 4)

=====

> Which value of calculated volume does entry 11 give?

561.3 Å³/cell

=====

> Which of these has the highest calculated volume?

La6SiS2I3

=====

> What is the formula in the ninth record?

Ac2MgTiSe6

=====

> What is the formula in the ninth record?

Ac2MgTiSe6